First-principles (PBE-GGA) data for La3In after structural relaxation, as listed in the Alexandria database.

ΔH_f (0 K), meV/atom: -231
E_tot, eV/atom: -4.611
Density, g/cm³: 6.77

a = 3.721 Å, b = 5.762 Å, c = 6.077 Å
α = 90.00°, β = 90.00°, γ = 90.00°
Space group Pmm2 (No. 25)
Unique sites:
La  0.000  0.000  0.000 [1 per cell]
La  0.000  0.500  0.407 [1 per cell]
La  0.500  0.500  0.850 [1 per cell]
In  0.500  0.000  0.514 [1 per cell]